Entry 1:
{
  "formula": "Sm8HgAu2",
  "functional": "PBE",
  "state": "relaxed",
  "relative_energy_mev_per_atom": 0,
  "space_group": "C2/m",
  "lattice": [[-0.763, -0.536, 5.130], [1.302, -6.981, -0.535], [8.503, 4.373, -0.928]],
  "species": ["Sm", "Au", "Sm", "Sm", "Hg", "Sm", "Sm", "Sm", "Sm", "Au", "Sm"],
  "fractional_positions": [[0.972, 0.233, 0.945], [0.819, 0.269, 0.638], [0.408, 0.533, 0.816], [0.199, 0.332, 0.397], [0.500, 0.000, 0.000], [0.028, 0.767, 0.055], [0.801, 0.668, 0.603], [0.329, 0.018, 0.658], [0.592, 0.467, 0.184], [0.181, 0.731, 0.362], [0.671, 0.982, 0.342]]
}

Entry 2:
{
  "formula": "Sm6Hg3Au",
  "functional": "PBE",
  "state": "relaxed",
  "space_group": "P2_1/m",
  "lattice": [[-3.014, -2.400, -3.484], [-3.326, -5.885, 6.931], [-6.983, 9.637, -0.596]],
  "species": ["Hg", "Sm", "Sm", "Sm", "Hg", "Hg", "Sm", "Sm", "Hg", "Au", "Sm", "Sm", "Sm", "Au", "Hg", "Sm", "Sm", "Hg", "Sm", "Sm"],
  "fractional_positions": [[0.250, 0.369, 0.768], [0.250, 0.267, 0.489], [0.750, 0.516, 0.900], [0.750, 0.345, 0.309], [0.250, 0.768, 0.976], [0.750, 0.232, 0.024], [0.750, 0.878, 0.132], [0.750, 0.121, 0.646], [0.750, 0.631, 0.232], [0.750, 0.079, 0.380], [0.250, 0.120, 0.147], [0.750, 0.880, 0.853], [0.250, 0.484, 0.100], [0.250, 0.921, 0.620], [0.250, 0.536, 0.378], [0.250, 0.879, 0.354], [0.250, 0.122, 0.868], [0.750, 0.464, 0.622], [0.750, 0.733, 0.511], [0.250, 0.655, 0.691]]
}

Entry 3:
{
  "formula": "SmHgAu2",
  "functional": "PBE",
  "state": "relaxed",
  "relative_energy_mev_per_atom": 0,
  "space_group": "Pmmn",
  "lattice": [[5.107, 0.000, 0.000], [0.000, 5.135, 0.000], [0.000, 0.000, 6.770]],
  "species": ["Au", "Hg", "Au", "Sm", "Sm", "Hg", "Au", "Au"],
  "fractional_positions": [[0.000, 0.817, 0.746], [0.500, 0.697, 0.000], [0.500, 0.183, 0.754], [0.500, 0.685, 0.500], [0.000, 0.315, 0.000], [0.000, 0.303, 0.500], [0.500, 0.183, 0.246], [0.000, 0.817, 0.254]]
}

Entry 4:
{
  "formula": "Sm3Hg2Au",
  "functional": "PBE",
  "state": "relaxed",
  "space_group": "P4/mmm",
  "lattice": [[-0.869, 1.132, 3.454], [-3.380, -1.557, -0.340], [4.061, -9.735, 4.213]],
  "species": ["Sm", "Sm", "Hg", "Sm", "Au", "Hg"],
  "fractional_positions": [[0.000, 0.000, 0.657], [0.000, 0.000, 0.343], [0.500, 0.500, 0.167], [0.000, 0.000, 0.000], [0.500, 0.500, 0.500], [0.500, 0.500, 0.833]]
}

| no. | uncorrected energy (eV/atom) | calculated volume (Å³/cell) | ΔH_f (0 K) (eV per formula unit) |
| --- | --- | --- | --- |
| 1 | -4.4197 | 328.8 | -4.01 |
| 2 | -3.6646 | 566.5 | -4.15 |
| 3 | -3.4878 | 177.5 | -2.38 |
| 4 | -3.5874 | 158.6 | -3.49 |